# PBE LaYZr, optimized geometry
data_LaYZr
_cell_length_a 8.048
_cell_length_b 8.047
_cell_length_c 3.431
_cell_angle_alpha 77.71
_cell_angle_beta 77.67
_cell_angle_gamma 24.62
_symmetry_space_group_name_H-M 'P 1'
_symmetry_Int_Tables_number 1
loop_
_symmetry_equiv_pos_as_xyz
'x,y,z'
loop_
_atom_site_label
_atom_site_type_symbol
_atom_site_fract_x
_atom_site_fract_y
_atom_site_fract_z
La1 La 0.000 0.000 0.000
Y1 Y 0.691 0.691 0.309
Zr1 Zr 0.339 0.339 0.661
# * ΔE to the lowest computed polymorph: 2 meV/atom
# * symmetry: Fmm2, No. 42
# * crystal system: orthorhombic
# * formation enthalpy at 0 K: 10.8 kJ per mole of atoms